{
  "formula": "HgOsPtO6",
  "functional": "PBE",
  "state": "relaxed",
  "space_group": "No. 74",
  "volume_a3_per_atom": 14.59,
  "energy_ev_per_atom": -5.791,
  "lattice": [[7.118, 0.000, 0.000], [0.000, 7.246, 0.000], [-3.559, -3.623, 5.092]],
  "species": ["O", "O", "O", "O", "O", "O", "O", "O", "O", "O", "O", "O", "Os", "Os", "Pt", "Pt", "Hg", "Hg"],
  "fractional_positions": [[0.817, 0.668, 0.250], [0.817, 0.082, 0.250], [0.549, 0.299, 0.098], [0.567, 0.332, 0.750], [0.183, 0.332, 0.750], [0.433, 0.082, 0.250], [0.162, 0.912, 0.323], [0.567, 0.918, 0.750], [0.838, 0.088, 0.677], [0.433, 0.668, 0.250], [0.451, 0.701, 0.902], [0.183, 0.918, 0.750], [0.500, 0.000, 0.000], [0.500, 0.500, 0.000], [0.000, 0.000, 0.500], [0.500, 0.000, 0.500], [0.927, 0.677, 0.853], [0.073, 0.323, 0.147]]
}